(1)
Compound: CeBeSi2Rh
Source: Alexandria via LeMat-Bulk
Functional: PBE
Structure: relaxed

Geometry as CIF:
```
data_CeBeSi2Rh
_chemical_formula_sum 'Ce1 Be1 Si2 Rh1'
_cell_length_a 5.793
_cell_length_b 5.793
_cell_length_c 5.793
_cell_angle_alpha 139.77
_cell_angle_beta 139.77
_cell_angle_gamma 58.20
_space_group_name_H-M_alt 'P 1'
_space_group_IT_number 1
loop_
_space_group_symop_operation_xyz
'x,y,z'
loop_
_atom_site_label
_atom_site_fract_x
_atom_site_fract_y
_atom_site_fract_z
Ce1 0.000 0.000 0.000
Be1 0.250 0.750 0.500
Si1 0.381 0.381 0.000
Si2 0.619 0.619 0.000
Rh1 0.750 0.250 0.500
```

Calculated values
**Raw formation energy**: -0.75 eV/atom
**Crystal system**: tetragonal
**Magnetization**: 0.006 μB per atom

(2)
Compound: Ce2Be2SnRh5
Source: Alexandria via LeMat-Bulk
Functional: PBE
Structure: relaxed

Geometry as CIF:
```
data_Ce2Be2SnRh5
_chemical_formula_sum 'Ce4 Be4 Sn2 Rh10'
_cell_length_a 9.572
_cell_length_b 9.572
_cell_length_c 3.487
_cell_angle_alpha 90.00
_cell_angle_beta 90.00
_cell_angle_gamma 90.00
_space_group_name_H-M_alt 'P 1'
_space_group_IT_number 1
loop_
_space_group_symop_operation_xyz
'x,y,z'
loop_
_atom_site_label
_atom_site_fract_x
_atom_site_fract_y
_atom_site_fract_z
Ce1 0.177 0.323 0.000
Ce2 0.323 0.823 0.000
Ce3 0.677 0.177 0.000
Ce4 0.823 0.677 0.000
Be1 0.118 0.618 0.000
Be2 0.382 0.118 0.000
Be3 0.618 0.882 0.000
Be4 0.882 0.382 0.000
Sn1 0.000 0.000 0.000
Sn2 0.500 0.500 0.000
Rh1 0.000 0.500 0.500
Rh2 0.072 0.782 0.500
Rh3 0.218 0.072 0.500
Rh4 0.282 0.572 0.500
Rh5 0.428 0.282 0.500
Rh6 0.500 0.000 0.500
Rh7 0.572 0.718 0.500
Rh8 0.718 0.428 0.500
Rh9 0.782 0.928 0.500
Rh10 0.928 0.218 0.500
```

Calculated values
**Calculated formation energy**: -76.1 kJ/mol of atoms
**Crystal system**: tetragonal
**Magnetization**: 0.023 μB per atom

(3)
Compound: CeBeRu
Source: Alexandria via LeMat-Bulk
Functional: PBE
Structure: relaxed

Geometry as CIF:
```
data_CeBeRu
_chemical_formula_sum 'Ce1 Be1 Ru1'
_cell_length_a 4.870
_cell_length_b 4.870
_cell_length_c 4.870
_cell_angle_alpha 134.66
_cell_angle_beta 134.66
_cell_angle_gamma 66.05
_space_group_name_H-M_alt 'P 1'
_space_group_IT_number 1
loop_
_space_group_symop_operation_xyz
'x,y,z'
loop_
_atom_site_label
_atom_site_fract_x
_atom_site_fract_y
_atom_site_fract_z
Ce1 0.000 0.000 0.000
Be1 0.666 0.666 0.000
Ru1 0.397 0.397 0.000
```

Calculated values
**Calculated formation energy**: 18.7 kJ/mol of atoms
**Crystal system**: tetragonal
**Magnetization**: 0.000 μB per atom

(4)
Compound: Ce2BeRu3
Source: Alexandria via LeMat-Bulk
Functional: PBE
Structure: relaxed

Geometry as CIF:
```
data_Ce2BeRu3
_chemical_formula_sum 'Ce2 Be1 Ru3'
_cell_length_a 4.945
_cell_length_b 4.945
_cell_length_c 4.945
_cell_angle_alpha 68.98
_cell_angle_beta 68.98
_cell_angle_gamma 68.98
_space_group_name_H-M_alt 'P 1'
_space_group_IT_number 1
loop_
_space_group_symop_operation_xyz
'x,y,z'
loop_
_atom_site_label
_atom_site_fract_x
_atom_site_fract_y
_atom_site_fract_z
Ce1 0.136 0.136 0.136
Ce2 0.864 0.864 0.864
Be1 0.500 0.500 0.500
Ru1 0.000 0.500 0.500
Ru2 0.500 0.000 0.500
Ru3 0.500 0.500 0.000
```

Calculated values
**Calculated formation energy**: -34.7 kJ/mol of atoms
**Crystal system**: trigonal
**Magnetization**: 0.000 μB per atom